VASP calculation (PBE with a Hubbard U) on Na4Dy3MnO8 after structural relaxation.

a b c (Å): 6.676 6.676 6.792
angles (deg): 119.65 119.65 60.71
Fractional positions:
Na1 0.000 0.000 0.000
Na2 0.000 0.500 0.000
Na3 0.500 0.000 0.000
Na4 0.500 0.500 0.000
Dy1 0.000 0.000 0.500
Dy2 0.000 0.500 0.500
Dy3 0.500 0.000 0.500
Mn1 0.500 0.500 0.500
O1 0.240 0.240 0.712
O2 0.241 0.739 0.717
O3 0.261 0.759 0.283
O4 0.288 0.288 0.307
O5 0.712 0.712 0.693
O6 0.739 0.241 0.717
O7 0.759 0.261 0.283
O8 0.760 0.760 0.288

Results
- Magnetic moment: 0.250 μB/atom
- Theoretical density: 5.9 g cm⁻³
- N(E_F): 0.01 states/eV/cell
- Energy: -105.650 eV per cell
- V: 216 Å³/f.u.